Entry 1:
First-principles (PBE) data for a relaxed Hg2AsPb crystal, as listed in Alexandria via LeMat-Bulk.

The calculated volume comes out at 25.7 Å³ per atom. As for the energy of formation from the pure elements: 0.165 eV per atom. Its space-group type is No. 123. The density of states at the Fermi level is 2.1 states/eV/f.u. The total moment comes out at 0.000 μB per atom.

Cell lengths 4.382, 4.382, 5.347 Å; angles 90.00, 90.00, 90.00 degrees
Sites, in units of the cell vectors:
Hg (0.000, 0.500, 0.000)
Hg (0.500, 0.000, 0.000)
As (0.000, 0.000, 0.500)
Pb (0.500, 0.500, 0.500)


Entry 2:
First-principles (PBE) data for a relaxed Hg2AsPb crystal, as listed in Alexandria via LeMat-Bulk.

The calculated volume comes out at 25.4 Å³ per atom. As for the energy of formation from the pure elements: 0.171 eV per atom. Its space-group type is No. 139. The density of states at the Fermi level is 1.9 states/eV/f.u. The total moment comes out at 0.000 μB per atom.

Cell lengths 4.464, 4.464, 10.205 Å; angles 90.00, 90.00, 90.00 degrees
Sites, in units of the cell vectors:
Hg (0.000, 0.500, 0.250)
Hg (0.000, 0.500, 0.750)
Hg (0.500, 0.000, 0.250)
Hg (0.500, 0.000, 0.750)
As (0.000, 0.000, 0.000)
As (0.500, 0.500, 0.500)
Pb (0.000, 0.000, 0.500)
Pb (0.500, 0.500, 0.000)


Entry 3:
First-principles (PBE) data for a relaxed Hg12As5Pb3 crystal, as listed in Alexandria via LeMat-Bulk.

The calculated volume comes out at 29.5 Å³ per atom. As for the energy of formation from the pure elements: 0.171 eV per atom. Its space-group type is No. 230. The density of states at the Fermi level is 7.0 states/eV/f.u. The total moment comes out at 0.000 μB per atom.

Cell lengths 14.529, 14.529, 14.529 Å; angles 109.47, 109.47, 109.47 degrees
Sites, in units of the cell vectors:
Hg (0.043, 0.220, 0.117)
Hg (0.043, 0.323, 0.926)
Hg (0.074, 0.617, 0.398)
Hg (0.074, 0.957, 0.677)
Hg (0.102, 0.720, 0.677)
Hg (0.102, 0.883, 0.426)
Hg (0.117, 0.043, 0.220)
Hg (0.117, 0.574, 0.898)
Hg (0.177, 0.220, 0.602)
Hg (0.177, 0.457, 0.574)
Hg (0.220, 0.117, 0.043)
Hg (0.220, 0.602, 0.177)
Hg (0.280, 0.323, 0.898)
Hg (0.280, 0.457, 0.383)
Hg (0.323, 0.898, 0.280)
Hg (0.323, 0.926, 0.043)
Hg (0.383, 0.280, 0.457)
Hg (0.383, 0.602, 0.926)
Hg (0.398, 0.074, 0.617)
Hg (0.398, 0.823, 0.780)
Hg (0.426, 0.102, 0.883)
Hg (0.426, 0.823, 0.543)
Hg (0.457, 0.383, 0.280)
Hg (0.457, 0.574, 0.177)
Hg (0.543, 0.426, 0.823)
Hg (0.543, 0.617, 0.720)
Hg (0.574, 0.177, 0.457)
Hg (0.574, 0.898, 0.117)
Hg (0.602, 0.177, 0.220)
Hg (0.602, 0.926, 0.383)
Hg (0.617, 0.398, 0.074)
Hg (0.617, 0.720, 0.543)
Hg (0.677, 0.074, 0.957)
Hg (0.677, 0.102, 0.720)
Hg (0.720, 0.543, 0.617)
Hg (0.720, 0.677, 0.102)
Hg (0.780, 0.398, 0.823)
Hg (0.780, 0.883, 0.957)
Hg (0.823, 0.543, 0.426)
Hg (0.823, 0.780, 0.398)
Hg (0.883, 0.426, 0.102)
Hg (0.883, 0.957, 0.780)
Hg (0.898, 0.117, 0.574)
Hg (0.898, 0.280, 0.323)
Hg (0.926, 0.043, 0.323)
Hg (0.926, 0.383, 0.602)
Hg (0.957, 0.677, 0.074)
Hg (0.957, 0.780, 0.883)
As (0.000, 0.000, 0.000)
As (0.000, 0.000, 0.500)
As (0.000, 0.500, 0.000)
As (0.000, 0.500, 0.500)
As (0.125, 0.750, 0.875)
As (0.125, 0.875, 0.250)
As (0.250, 0.125, 0.875)
As (0.250, 0.625, 0.375)
As (0.375, 0.250, 0.625)
As (0.375, 0.625, 0.750)
As (0.500, 0.000, 0.000)
As (0.500, 0.000, 0.500)
As (0.500, 0.500, 0.000)
As (0.500, 0.500, 0.500)
As (0.625, 0.375, 0.250)
As (0.625, 0.750, 0.375)
As (0.750, 0.375, 0.625)
As (0.750, 0.875, 0.125)
As (0.875, 0.125, 0.750)
As (0.875, 0.250, 0.125)
Pb (0.125, 0.250, 0.375)
Pb (0.125, 0.375, 0.750)
Pb (0.250, 0.375, 0.125)
Pb (0.250, 0.875, 0.625)
Pb (0.375, 0.125, 0.250)
Pb (0.375, 0.750, 0.125)
Pb (0.625, 0.250, 0.875)
Pb (0.625, 0.875, 0.750)
Pb (0.750, 0.125, 0.375)
Pb (0.750, 0.625, 0.875)
Pb (0.875, 0.625, 0.250)
Pb (0.875, 0.750, 0.625)


Entry 4:
First-principles (PBE) data for a relaxed HgAsPb4 crystal, as listed in Alexandria via LeMat-Bulk.

The calculated volume comes out at 31.5 Å³ per atom. As for the energy of formation from the pure elements: 0.364 eV per atom. Its space-group type is No. 216. The density of states at the Fermi level is 5.3 states/eV/f.u. The total moment comes out at 0.000 μB per atom.

Cell lengths 6.440, 6.440, 6.440 Å; angles 60.00, 60.00, 60.00 degrees
Sites, in units of the cell vectors:
Hg (0.000, 0.000, 0.000)
As (0.250, 0.250, 0.250)
Pb (0.125, 0.625, 0.625)
Pb (0.625, 0.125, 0.625)
Pb (0.625, 0.625, 0.125)
Pb (0.625, 0.625, 0.625)


Entry 5:
First-principles (PBE) data for a relaxed Hg2AsPb2 crystal, as listed in Alexandria via LeMat-Bulk.

The calculated volume comes out at 27.5 Å³ per atom. As for the energy of formation from the pure elements: 0.135 eV per atom. Its space-group type is No. 127. The density of states at the Fermi level is 2.5 states/eV/f.u. The total moment comes out at 0.000 μB per atom.

Cell lengths 7.532, 7.532, 4.852 Å; angles 90.00, 90.00, 90.00 degrees
Sites, in units of the cell vectors:
Hg (0.140, 0.360, 0.000)
Hg (0.360, 0.860, 0.000)
Hg (0.640, 0.140, 0.000)
Hg (0.860, 0.640, 0.000)
As (0.000, 0.000, 0.000)
As (0.500, 0.500, 0.000)
Pb (0.171, 0.671, 0.500)
Pb (0.329, 0.171, 0.500)
Pb (0.671, 0.829, 0.500)
Pb (0.829, 0.329, 0.500)


Entry 6:
First-principles (PBE) data for a relaxed Hg2AsPb crystal, as listed in Alexandria via LeMat-Bulk.

The calculated volume comes out at 25.9 Å³ per atom. As for the energy of formation from the pure elements: 0.124 eV per atom. Its space-group type is No. 5. The density of states at the Fermi level is 0.8 states/eV/f.u. The total moment comes out at 0.000 μB per atom.

Cell lengths 7.410, 7.367, 5.142 Å; angles 90.00, 132.43, 90.00 degrees
Sites, in units of the cell vectors:
Hg (0.000, 0.000, 0.000)
Hg (0.000, 0.249, 0.500)
Hg (0.500, 0.500, 0.000)
Hg (0.500, 0.749, 0.500)
As (0.000, 0.477, 0.000)
As (0.500, 0.977, 0.000)
Pb (0.000, 0.748, 0.500)
Pb (0.500, 0.248, 0.500)


Entry 7:
First-principles (PBE) data for a relaxed Hg2AsPb crystal, as listed in Alexandria via LeMat-Bulk.

The calculated volume comes out at 26.7 Å³ per atom. As for the energy of formation from the pure elements: 0.128 eV per atom. Its space-group type is No. 6. The density of states at the Fermi level is 1.9 states/eV/f.u. The total moment comes out at 0.000 μB per atom.

Cell lengths 3.146, 5.862, 5.809 Å; angles 90.00, 94.24, 90.00 degrees
Sites, in units of the cell vectors:
Hg (0.000, 0.000, 0.000)
Hg (0.406, 0.500, 0.994)
As (0.395, 0.500, 0.496)
Pb (0.640, 0.000, 0.494)


Entry 8:
First-principles (PBE) data for a relaxed Hg2AsPb2 crystal, as listed in Alexandria via LeMat-Bulk.

The calculated volume comes out at 29.5 Å³ per atom. As for the energy of formation from the pure elements: 0.434 eV per atom. Its space-group type is No. 139. The density of states at the Fermi level is 4.0 states/eV/f.u. The total moment comes out at 0.000 μB per atom.

Cell lengths 4.539, 4.539, 14.305 Å; angles 90.00, 90.00, 90.00 degrees
Sites, in units of the cell vectors:
Hg (0.000, 0.000, 0.095)
Hg (0.000, 0.000, 0.905)
Hg (0.500, 0.500, 0.405)
Hg (0.500, 0.500, 0.595)
As (0.000, 0.000, 0.500)
As (0.500, 0.500, 0.000)
Pb (0.000, 0.500, 0.250)
Pb (0.000, 0.500, 0.750)
Pb (0.500, 0.000, 0.250)
Pb (0.500, 0.000, 0.750)


- Which formula does entry 7 have?
  Hg2AsPb


Copy entry 8 word for word.
First-principles (PBE) data for a relaxed Hg2AsPb2 crystal, as listed in Alexandria via LeMat-Bulk.

The calculated volume comes out at 29.5 Å³ per atom. As for the energy of formation from the pure elements: 0.434 eV per atom. Its space-group type is No. 139. The density of states at the Fermi level is 4.0 states/eV/f.u. The total moment comes out at 0.000 μB per atom.

Cell lengths 4.539, 4.539, 14.305 Å; angles 90.00, 90.00, 90.00 degrees
Sites, in units of the cell vectors:
Hg (0.000, 0.000, 0.095)
Hg (0.000, 0.000, 0.905)
Hg (0.500, 0.500, 0.405)
Hg (0.500, 0.500, 0.595)
As (0.000, 0.000, 0.500)
As (0.500, 0.500, 0.000)
Pb (0.000, 0.500, 0.250)
Pb (0.000, 0.500, 0.750)
Pb (0.500, 0.000, 0.250)
Pb (0.500, 0.000, 0.750)